Below is crystalline MgSb2TePd at its relaxed geometry, with properties calculated at the GGA-PBE level.

Lattice parameters (Å, degrees): 5.1912 5.1912 5.5189 90.00 90.00 90.00
Fractional positions:
Mg 0.5000 0.5000 0.5000
Sb 0.0000 0.5000 0.0000
Te 0.0000 0.0000 0.5000
Sb 0.5000 0.0000 0.0000
Pd 0.0000 0.0000 0.0000

Calculated values
Formation energy (no corrections) ... 0.2309 eV/atom
Space-group type ... No. 123
Calculated volume ... 29.7 A^3/atom